## ScOsRu2 (PBE-GGA)

Data for an optimized crystal structure of ScOsRu2.

Its energy of formation from the pure elements is 1 meV per atom. The energy above the most stable polymorph in this dataset comes out at 67 meV/atom. Its final energy is -36.110 eV for the cell shown.

The space group is P4/mmm (No. 123) and the conventional cell measures 3.9594, 3.9594 and 3.8882 Å, with angles of 90.00, 90.00 and 90.00 degrees. Symmetry generates all atoms from Sc at (0.0000, 0.0000, 0.0000), Os at (0.5000, 0.5000, 0.0000) and Ru at (0.0000, 0.5000, 0.5000).